Record 1
Here is Cd2TeRh after structural relaxation from Alexandria. Energies are from GGA-PBE.

Calculated values
E_tot: -12.9 eV per formula unit
Volume: 23.1 Å³ per atom
D(E_F): 0.282 states/eV per atom
Total magnetization: 0.00 μB per atom
ΔE_f (raw): -0.15 eV per atom

a b c (Å): 6.9106 6.9106 3.2044
angles (deg): 90.00 90.00 142.87
Last column: nearest neighbours and their distance in Å.
Fractional coordinates of all 4 atoms:
Cd 0.7238 0.2762 0.5000  4 Rh 2.79
Cd 0.0650 0.9350 0.0000  1 Rh 2.71
Te 0.4308 0.5692 0.5000  2 Rh 2.63
Rh 0.2719 0.7281 0.0000  2 Te 2.63, 5 Cd 2.71-2.79

=====

Record 2
Here is RbSrIr3 after structural relaxation from Alexandria. Energies are from GGA-PBE.

Calculated values
E_tot: -17.6 eV per formula unit
DFT formation energy: 2.32 eV per atom
Energy above the lowest structure with this stoichiometry: 0.048 eV/atom
Volume: 25.1 Å³ per atom
D(E_F): 1.246 states/eV per atom
Total magnetization: 0.33 μB per atom

a b c (Å): 5.0081 5.0081 5.0081
angles (deg): 90.00 90.00 90.00
Last column: nearest neighbours and their distance in Å.
Fractional coordinates of all 5 atoms:
Sr 0.5000 0.5000 0.5000  12 Ir 3.54
Ir 0.0000 0.0000 0.5000  2 Rb 2.50
Ir 0.5000 0.0000 0.0000  2 Rb 2.50
Ir 0.0000 0.5000 0.0000  2 Rb 2.50
Rb 0.0000 0.0000 0.0000  6 Ir 2.50

=====

Copy entry 1 word for word.
Here is Cd2TeRh after structural relaxation from Alexandria. Energies are from GGA-PBE.

Calculated values
E_tot: -12.9 eV per formula unit
Volume: 23.1 Å³ per atom
D(E_F): 0.282 states/eV per atom
Total magnetization: 0.00 μB per atom
ΔE_f (raw): -0.15 eV per atom

a b c (Å): 6.9106 6.9106 3.2044
angles (deg): 90.00 90.00 142.87
Last column: nearest neighbours and their distance in Å.
Fractional coordinates of all 4 atoms:
Cd 0.7238 0.2762 0.5000  4 Rh 2.79
Cd 0.0650 0.9350 0.0000  1 Rh 2.71
Te 0.4308 0.5692 0.5000  2 Rh 2.63
Rh 0.2719 0.7281 0.0000  2 Te 2.63, 5 Cd 2.71-2.79